1.
GdAgS2 | PBE-GGA | optimized geometry

abc: 4.1560 4.1560 22.5795
angles: 90.00 90.00 120.00
Closest atoms and distances in Å follow each position.
Space group R-3m (No. 166, hexagonal axes)
One atom of each set of equivalent atoms:
Gd  0.0000  0.0000  0.0000 x3  6 S 2.78
Ag  0.0000  0.0000  0.5000 x3  2 S 2.36
S  0.0000  0.0000  0.3955 x6  1 Ag 2.36

## Properties
Theoretical density in g/cm³: 4.9
Formation energy without anion corrections in meV/atom: -1304

2.
HgSeBr | PBE-GGA | optimized geometry

abc: 4.3839 6.0407 7.8038
angles: 105.35 96.79 92.59
Closest atoms and distances in Å follow each position.
Space group P1 (No. 1)
One atom of each set of equivalent atoms:
Hg  0.0000  0.0000  0.0000 x1  1 Br 2.56, 1 Se 2.60
Hg  0.1933  0.3440  0.6559 x1  2 Se 2.54-2.63
Se  0.0532  0.6529  0.5013 x1  1 Se 2.37, 1 Hg 2.54
Se  0.3211  0.9585  0.7356 x1  1 Se 2.37, 2 Hg 2.60-2.63
Br  0.6868  0.1042  0.2634 x1  1 Hg 2.56
Br  0.7626  0.5006  0.9313 x1  3 Hg 3.02-3.03

## Properties
Theoretical density in g/cm³: 6.1
Formation energy without anion corrections in meV/atom: -249

3.
Cs3Ce3MnS8 | PBE-GGA | optimized geometry

abc: 8.1756 8.1756 24.4212
angles: 90.00 90.00 120.00
Closest atoms and distances in Å follow each position.
Space group R-3m (No. 166, hexagonal axes)
One atom of each set of equivalent atoms:
Cs  0.0000  0.5000  0.0000 x9  6 S 3.49-3.54
Ce  0.0000  0.5000  0.5000 x9  6 S 2.77-2.80
Mn  0.0000  0.0000  0.5000 x3  6 S 2.68
S  0.0000  0.0000  0.2283 x6  3 Ce 2.80
S  0.0097  0.5048  0.2238 x18  1 Mn 2.68, 2 Ce 2.77

## Properties
Theoretical density in g/cm³: 4.0
Formation energy without anion corrections in meV/atom: -1523

4.
ErNi3B3 | PBE-GGA | optimized geometry

abc: 5.5079 5.5079 5.5079
angles: 90.00 90.00 90.00
Closest atoms and distances in Å follow each position.
Space group Pm-3n (No. 223)
One atom of each set of equivalent atoms:
Er  0.0000  0.0000  0.0000 x2  12 Ni 3.08, 12 B 3.08
Ni  0.0000  0.2500  0.5000 x6  4 B 1.95
B  0.0000  0.5000  0.2500 x6  4 Ni 1.95

## Properties
ΔH_f (0 K) in eV per atom: -0.13
Theoretical density in g/cm³: 7.5

5.
AcNdYSn | PBE-GGA | optimized geometry

abc: 7.9543 7.9543 7.9543
angles: 90.00 90.00 90.00
Closest atoms and distances in Å follow each position.
Space group F-43m (No. 216)
One atom of each set of equivalent atoms:
Ac  0.0000  0.0000  0.0000 x4  4 Y 3.44, 4 Nd 3.44
Nd  0.2500  0.2500  0.7500 x4  4 Ac 3.44, 4 Sn 3.44
Y  0.2500  0.2500  0.2500 x4  4 Sn 3.44, 4 Ac 3.44
Sn  0.0000  0.0000  0.5000 x4  4 Nd 3.44, 4 Y 3.44

## Properties
ΔH_f (0 K) in eV per atom: -0.20
Theoretical density in g/cm³: 7.6

6.
Sc2PbI | PBE-GGA | optimized geometry

abc: 4.5734 4.5734 24.3972
angles: 90.00 90.00 120.00
Closest atoms and distances in Å follow each position.
Space group R-3m (No. 166, hexagonal axes)
One atom of each set of equivalent atoms:
Sc  0.0000  0.0000  0.1164 x6  1 I 2.84, 3 Pb 2.91
Pb  0.0000  0.0000  0.5000 x3  6 Sc 2.91
I  0.0000  0.0000  0.0000 x3  2 Sc 2.84

## Properties
Theoretical density in g/cm³: 4.8
Formation energy without anion corrections in meV/atom: -364

7.
LiTbCe | PBE-GGA | optimized geometry

abc: 3.3930 3.3930 14.4606
angles: 90.00 90.00 90.00
Closest atoms and distances in Å follow each position.
Space group I4mm (No. 107)
One atom of each set of equivalent atoms:
Li  0.0000  0.0000  0.0000 x2  4 Tb 3.34, 4 Ce 3.38, 4 Li 3.39
Tb  0.0000  0.0000  0.6611 x2  4 Li 3.34, 4 Tb 3.39, 4 Ce 3.48
Ce  0.0000  0.0000  0.3354 x2  4 Li 3.38, 4 Ce 3.39, 4 Tb 3.48

## Properties
ΔH_f (0 K) in eV per atom: 0.18
Theoretical density in g/cm³: 6.1

8.
Dy2V3Si4 | PBE-GGA | optimized geometry

abc: 6.8252 6.8203 6.7044
angles: 90.00 109.21 90.00
Closest atoms and distances in Å follow each position.
Space group P2_1/c (No. 14)
One atom of each set of equivalent atoms:
Dy  0.1866  0.1677  0.0609 x4  7 Si 2.79-3.02
V  0.2595  0.6714  0.2486 x4  6 Si 2.46-2.70
V  0.5000  0.0000  0.5000 x2  6 Si 2.63-2.68, 2 V 2.94
Si  0.0915  0.5452  0.8729 x4  1 Si 2.50, 4 V 2.52-2.70, 1 Dy 2.79
Si  0.5002  0.1290  0.8701 x4  5 V 2.46-2.68, 1 Si 2.48

## Properties
Theoretical density in g/cm³: 6.7
Formation energy without anion corrections in meV/atom: -662

9.
YCuSb3 | PBE-GGA | optimized geometry

abc: 5.7396 5.7396 5.7396
angles: 90.00 90.00 90.00
Closest atoms and distances in Å follow each position.
Space group Pm-3m (No. 221)
One atom of each set of equivalent atoms:
Y  0.0000  0.0000  0.0000 x1  6 Sb 2.87
Cu  0.5000  0.5000  0.5000 x1  12 Sb 4.06
Sb  0.0000  0.0000  0.5000 x3  2 Y 2.87

## Properties
Theoretical density in g/cm³: 4.5
Formation energy without anion corrections in meV/atom: 724

10.
B3PAu | PBE-GGA | optimized geometry

abc: 4.1977 4.1977 4.1977
angles: 90.00 90.00 90.00
Closest atoms and distances in Å follow each position.
Space group Pm-3m (No. 221)
One atom of each set of equivalent atoms:
B  0.0000  0.0000  0.5000 x3  2 Au 2.10
P  0.5000  0.5000  0.5000 x1  12 B 2.97
Au  0.0000  0.0000  0.0000 x1  6 B 2.10

## Properties
ΔH_f (0 K) in eV per atom: 1.93
Theoretical density in g/cm³: 5.8

11.
Sr2TiPdO6 | PBE-GGA | optimized geometry

abc: 7.9230 7.9230 7.9230
angles: 90.00 90.00 90.00
Closest atoms and distances in Å follow each position.
Space group Fm-3m (No. 225)
One atom of each set of equivalent atoms:
Sr  0.2500  0.2500  0.2500 x8  12 O 2.80
Ti  0.0000  0.0000  0.0000 x4  6 O 1.96
Pd  0.0000  0.0000  0.5000 x4  6 O 2.01
O  0.0000  0.0000  0.2468 x24  1 Ti 1.96, 1 Pd 2.01

## Properties
Theoretical density in g/cm³: 5.7
Formation energy without anion corrections in meV/atom: -2245

12.
RbHSeN2 | PBE-GGA | optimized geometry

abc: 5.9876 5.9876 7.0007
angles: 90.00 90.00 90.00
Closest atoms and distances in Å follow each position.
Space group P4/mmm (No. 123)
One atom of each set of equivalent atoms:
Rb  0.0000  0.0000  0.0000 x1  4 N 2.99
H  0.5000  0.5000  0.5000 x1  4 Se 4.23, 8 N 4.61
Se  0.0000  0.0000  0.5000 x1  2 Rb 3.50
N  0.0000  0.5000  0.0000 x2  2 Rb 2.99

## Properties
Theoretical density in g/cm³: 1.3
Final energy in hartree per atom: -0.0899